Computed, not measured: a relaxed structure of MoSeI2N at the PBE level of DFT.

Cell: 6.005 6.005 3.725 Å, 90.00 90.00 90.00°
Fractional positions:
Mo1 0.000 0.000 0.000
Se1 0.500 0.500 0.500
I1 0.000 0.500 0.500
I2 0.500 0.000 0.500
N1 0.500 0.500 0.000

Summary:
Distance to the lowest polymorph of the same formula in meV per atom: 875
D(E_F) in states/eV/atom: 0.57
Space group: No. 123
Raw formation energy in eV per atom: 1.3820